(1)
A plane-wave DFT calculation with PBE was carried out for HfBAs2Br after structural relaxation.

Geometry as CIF:
```
data_HfBAs2Br
_cell_length_a 4.450
_cell_length_b 4.450
_cell_length_c 4.582
_cell_angle_alpha 90.00
_cell_angle_beta 90.00
_cell_angle_gamma 90.00
_space_group_name_H-M_alt 'P 4/m m m'
_space_group_IT_number 123
_space_group_name_Hall '-P 4 2'
loop_
_atom_site_label
_atom_site_type_symbol
_atom_site_fract_x
_atom_site_fract_y
_atom_site_fract_z
_atom_site_occupancy
Hf1 Hf 0.000 0.000 0.000 1
B1 B 0.500 0.500 0.500 1
As1 As 0.000 0.500 0.500 1
Br1 Br 0.500 0.500 0.000 1
```

Properties
The value obtained for the polymorph energy (0 for the lowest one) is 0 meV/atom. The magnetic moment is 0.0 μB/f.u. The formation energy without anion corrections comes out at 285 kJ/mol of formula units.


(2)
A plane-wave DFT calculation with PBE was carried out for HfBAsBr2 after structural relaxation.

Geometry as CIF:
```
data_HfBAsBr2
_cell_length_a 5.223
_cell_length_b 5.223
_cell_length_c 5.287
_cell_angle_alpha 90.00
_cell_angle_beta 90.00
_cell_angle_gamma 90.00
_space_group_name_H-M_alt 'P 4/m m m'
_space_group_IT_number 123
_space_group_name_Hall '-P 4 2'
loop_
_atom_site_label
_atom_site_type_symbol
_atom_site_fract_x
_atom_site_fract_y
_atom_site_fract_z
_atom_site_occupancy
Hf1 Hf 0.000 0.000 0.000 1
B1 B 0.500 0.500 0.500 1
As1 As 0.000 0.000 0.500 1
Br1 Br 0.000 0.500 0.000 1
```

Properties
The value obtained for the polymorph energy (0 for the lowest one) is 0 meV/atom. The magnetic moment is 0.0 μB/f.u. The formation energy without anion corrections comes out at 282 kJ/mol of formula units.


(3)
A plane-wave DFT calculation with PBE was carried out for BAsIBr2 after structural relaxation.

Geometry as CIF:
```
data_BAsIBr2
_cell_length_a 4.548
_cell_length_b 4.548
_cell_length_c 5.432
_cell_angle_alpha 90.00
_cell_angle_beta 90.00
_cell_angle_gamma 90.00
_space_group_name_H-M_alt 'P 4/m m m'
_space_group_IT_number 123
_space_group_name_Hall '-P 4 2'
loop_
_atom_site_label
_atom_site_type_symbol
_atom_site_fract_x
_atom_site_fract_y
_atom_site_fract_z
_atom_site_occupancy
B1 B 0.000 0.000 0.000 1
As1 As 0.000 0.000 0.500 1
I1 I 0.500 0.500 0.500 1
Br1 Br 0.000 0.500 0.000 1
```

Properties
The value obtained for the polymorph energy (0 for the lowest one) is 0 meV/atom. The magnetic moment is 0.0 μB/f.u. The formation energy without anion corrections comes out at 336 kJ/mol of formula units.


(4)
A plane-wave DFT calculation with PBE was carried out for BAs2IBr after structural relaxation.

Geometry as CIF:
```
data_BAs2IBr
_cell_length_a 5.528
_cell_length_b 5.528
_cell_length_c 5.764
_cell_angle_alpha 90.00
_cell_angle_beta 90.00
_cell_angle_gamma 90.00
_space_group_name_H-M_alt 'P 4/m m m'
_space_group_IT_number 123
_space_group_name_Hall '-P 4 2'
loop_
_atom_site_label
_atom_site_type_symbol
_atom_site_fract_x
_atom_site_fract_y
_atom_site_fract_z
_atom_site_occupancy
B1 B 0.000 0.000 0.000 1
As1 As 0.000 0.500 0.500 1
I1 I 0.500 0.500 0.500 1
Br1 Br 0.500 0.500 0.000 1
```

Properties
The value obtained for the polymorph energy (0 for the lowest one) is 1060 meV/atom. The magnetic moment is 1.9 μB/f.u. The formation energy without anion corrections comes out at 909 kJ/mol of formula units.


> What is the formula in the second record?

HfBAsBr2


Please write out number 1 again, unchanged.
A plane-wave DFT calculation with PBE was carried out for HfBAs2Br after structural relaxation.

Geometry as CIF:
```
data_HfBAs2Br
_cell_length_a 4.450
_cell_length_b 4.450
_cell_length_c 4.582
_cell_angle_alpha 90.00
_cell_angle_beta 90.00
_cell_angle_gamma 90.00
_space_group_name_H-M_alt 'P 4/m m m'
_space_group_IT_number 123
_space_group_name_Hall '-P 4 2'
loop_
_atom_site_label
_atom_site_type_symbol
_atom_site_fract_x
_atom_site_fract_y
_atom_site_fract_z
_atom_site_occupancy
Hf1 Hf 0.000 0.000 0.000 1
B1 B 0.500 0.500 0.500 1
As1 As 0.000 0.500 0.500 1
Br1 Br 0.500 0.500 0.000 1
```

Properties
The value obtained for the polymorph energy (0 for the lowest one) is 0 meV/atom. The magnetic moment is 0.0 μB/f.u. The formation energy without anion corrections comes out at 285 kJ/mol of formula units.


> Which formula does entry 2 have?

HfBAsBr2


> Look up the magnetic moment of the second one.

0.0 μB/f.u.